# 1
DFT (PBE) results for a relaxed YAuSe crystal.

Cell and atoms, written as POSCAR:
```
YAuSe
1.0
0.000 3.372 3.372
3.372 0.000 3.372
3.372 3.372 0.000
Y Au Se
1 1 1
Cartesian
0.000 0.000 0.000
3.372 3.372 3.372
5.058 5.058 5.058
```


# 2
DFT (PBE) results for a relaxed YAu2Se crystal.

Cell and atoms, written as POSCAR:
```
YAu2Se
1.0
-4.067 4.067 2.763
4.067 -4.067 2.763
4.067 4.067 -2.763
Y Au Se
2 4 2
Cartesian
0.000 0.000 0.000
0.000 4.067 1.382
2.034 2.191 -0.691
5.944 2.034 0.691
2.034 1.877 2.073
-1.877 2.034 3.454
4.067 0.000 1.382
0.000 0.000 2.763
```


no.,formation energy (no corrections) (kJ/mol of formula units),magnetic moment (μB per atom)
1,-207,0.00
2,-252,0.00